Entry 1:
Cs2CrI6F (GGA+U, relaxed); space group = No. 139
1.0
-3.915 3.915 6.446
3.915 -3.915 6.446
3.915 3.915 -6.446
Cs Cr I F
2 1 6 1
Direct
0.250 0.750 0.500 Cs
0.750 0.250 0.500 Cs
0.000 0.000 0.000 Cr
0.215 0.215 0.000 I
0.254 0.254 0.507 I
0.254 0.746 0.000 I
0.746 0.254 0.000 I
0.746 0.746 0.493 I
0.785 0.785 0.000 I
0.500 0.500 0.000 F



Entry 2:
Cs2CrIF6 (GGA+U, relaxed); space group = No. 139
1.0
-3.663 3.663 4.156
3.663 -3.663 4.156
3.663 3.663 -4.156
Cs Cr I F
2 1 1 6
Direct
0.250 0.750 0.500 Cs
0.750 0.250 0.500 Cs
0.000 0.000 0.000 Cr
0.500 0.500 0.000 I
0.186 0.186 0.371 F
0.186 0.814 0.000 F
0.244 0.244 0.000 F
0.756 0.756 0.000 F
0.814 0.186 0.000 F
0.814 0.814 0.629 F



Entry 3:
CsCrI2F (GGA+U, relaxed); space group = No. 123
1.0
6.238 0.000 0.000
0.000 6.238 0.000
0.000 0.000 4.140
Cs Cr I F
1 1 2 1
Direct
0.000 0.000 0.000 Cs
0.500 0.500 0.500 Cr
0.000 0.500 0.500 I
0.500 0.000 0.500 I
0.500 0.500 0.000 F



Entry 4:
Cs3Cr2InF9 (GGA+U, relaxed); space group = No. 164
1.0
6.334 0.000 0.000
-3.167 5.486 0.000
0.000 0.000 7.967
Cs Cr In F
3 2 1 9
Direct
0.000 0.000 0.000 Cs
0.333 0.667 0.658 Cs
0.667 0.333 0.342 Cs
0.333 0.667 0.143 Cr
0.667 0.333 0.857 Cr
0.000 0.000 0.500 In
0.000 0.500 0.000 F
0.186 0.372 0.291 F
0.186 0.814 0.291 F
0.372 0.186 0.709 F
0.500 0.000 0.000 F
0.500 0.500 0.000 F
0.628 0.814 0.291 F
0.814 0.186 0.709 F
0.814 0.628 0.709 F



Entry 5:
Cs2Cr2InF7 (GGA+U, relaxed); space group = No. 12
1.0
3.150 -3.150 0.000
3.150 3.150 0.000
-3.131 0.000 11.297
Cs Cr In F
2 2 1 7
Direct
0.181 0.181 0.364 Cs
0.819 0.819 0.636 Cs
0.410 0.410 0.820 Cr
0.590 0.590 0.180 Cr
0.000 0.000 0.000 In
0.089 0.589 0.179 F
0.322 0.322 0.641 F
0.411 0.911 0.821 F
0.500 0.500 0.000 F
0.589 0.089 0.179 F
0.678 0.678 0.359 F
0.911 0.411 0.821 F



Entry 6:
Cs2CrIrF6 (GGA+U, relaxed); space group = No. 139
1.0
-3.078 3.078 4.606
3.078 -3.078 4.606
3.078 3.078 -4.606
Cs Cr Ir F
2 1 1 6
Direct
0.250 0.750 0.500 Cs
0.750 0.250 0.500 Cs
0.000 0.000 0.000 Cr
0.500 0.500 0.000 Ir
0.235 0.235 0.471 F
0.235 0.765 0.000 F
0.275 0.275 0.000 F
0.725 0.725 0.000 F
0.765 0.235 0.000 F
0.765 0.765 0.529 F



| no. | calculated total energy (Ry/atom) |
| --- | --- |
| 1 | -0.2095 |
| 2 | -0.3354 |
| 3 | -0.3023 |
| 4 | -0.3709 |
| 5 | -0.3808 |
| 6 | -0.3655 |